No. 1
First-principles (PBE) data for a relaxed structure of La4TbNd, as listed in the Alexandria database.

The structure in POSCAR format:
```
La4TbNd
1.0
-2.723 5.559 1.820
-2.250 1.019 5.961
5.514 2.137 1.714
La Tb Nd
4 1 1
Direct
0.340 0.340 0.000
0.660 0.660 0.000
0.842 0.842 0.500
0.158 0.158 0.500
0.000 0.000 0.000
0.500 0.500 0.500
```

SG: Cmmm, No. 65
ΔE_f in meV/atom: 97

***

No. 2
First-principles (PBE) data for a relaxed structure of Y2ZnFe, as listed in the Alexandria database.

The structure in POSCAR format:
```
Y2ZnFe
1.0
-1.422 -1.739 -4.299
-2.787 -3.964 -0.211
-4.644 0.370 -1.350
Fe Y Zn
1 2 1
Direct
0.500 0.500 0.500
0.000 0.000 0.000
0.250 0.250 0.250
0.750 0.750 0.750
```

SG: F-43m, No. 216
ΔE_f in meV/atom: 207

***

No. 3
First-principles (PBE) data for a relaxed structure of Th6Si2SbTe3, as listed in the Alexandria database.

The structure in POSCAR format:
```
Th6Si2SbTe3
1.0
4.376 0.000 0.000
0.000 8.933 0.278
-2.188 -2.615 9.307
Th Si Sb Te
6 2 1 3
Direct
0.332 0.882 0.663
0.675 0.563 0.350
0.668 0.118 0.337
0.015 0.254 0.029
0.985 0.746 0.971
0.325 0.437 0.650
0.831 0.663 0.661
0.169 0.337 0.339
0.500 0.000 0.000
0.500 0.500 0.000
0.839 0.165 0.678
0.161 0.835 0.322
```

SG: C2/m, No. 12
Formation energy without anion corrections in kJ/mol of atoms: -93.91

***

No. 4
First-principles (PBE) data for a relaxed structure of AcMgCu10, as listed in the Alexandria database.

The structure in POSCAR format:
```
AcMgCu10
1.0
4.114 0.000 0.000
0.000 5.078 0.000
0.000 0.000 8.822
Ac Mg Cu
1 1 10
Direct
0.000 0.500 0.500
0.000 0.000 0.000
0.000 0.000 0.306
0.000 0.500 0.850
0.000 0.500 0.150
0.000 0.000 0.694
0.500 0.000 0.500
0.500 0.500 0.000
0.500 0.247 0.240
0.500 0.753 0.760
0.500 0.753 0.240
0.500 0.247 0.760
```

SG: Pmmm, No. 47
ΔE_f in meV/atom: -78

***

No. 5
First-principles (PBE) data for a relaxed structure of HfTcGe2Bi, as listed in the Alexandria database.

The structure in POSCAR format:
```
HfTcGe2Bi
1.0
-1.277 3.489 -3.016
-4.535 -2.316 -0.758
-1.870 2.468 3.648
Ge Hf Bi Tc
2 1 1 1
Direct
0.000 0.000 0.500
0.500 0.000 0.000
0.000 0.500 0.000
0.500 0.500 0.500
0.000 0.000 0.000
```

SG: P4/mmm, No. 123
ΔE_f in meV/atom: 190

***

No. 6
First-principles (PBE) data for a relaxed structure of Pm3YTh2, as listed in the Alexandria database.

The structure in POSCAR format:
```
Pm3YTh2
1.0
3.623 0.000 0.000
0.000 10.120 1.169
0.000 -1.293 10.746
Pm Y Th
6 2 4
Direct
0.750 0.134 0.583
0.250 0.866 0.417
0.750 0.624 0.250
0.250 0.376 0.750
0.250 0.364 0.083
0.750 0.636 0.917
0.250 0.875 0.749
0.750 0.125 0.251
0.250 0.380 0.419
0.750 0.620 0.581
0.750 0.118 0.919
0.250 0.882 0.081
```

SG: P2_1/m, No. 11
ΔE_f in meV/atom: 40

***

No. 7
First-principles (PBE) data for a relaxed structure of VGaPd, as listed in the Alexandria database.

The structure in POSCAR format:
```
VGaPd
1.0
2.742 0.000 0.000
0.000 2.742 0.000
-1.371 -1.371 6.821
Ga Pd V
1 1 1
Direct
0.949 0.949 0.897
0.767 0.767 0.534
0.134 0.134 0.269
```

SG: I4mm, No. 107
ΔE_f in meV/atom: 148

***

No. 8
First-principles (PBE) data for a relaxed structure of Ac2InSbO8, as listed in the Alexandria database.

The structure in POSCAR format:
```
Ac2InSbO8
1.0
-4.712 2.308 -0.148
-0.024 -1.013 -5.161
-3.230 -6.512 1.293
Ac In Sb O
2 1 1 8
Direct
0.500 0.500 0.750
0.500 0.500 0.250
0.000 0.000 0.500
0.000 0.000 0.000
0.170 0.826 0.213
0.725 0.730 0.000
0.830 0.173 0.213
0.830 0.174 0.787
0.275 0.270 0.000
0.170 0.827 0.787
0.718 0.721 0.500
0.282 0.279 0.500
```

SG: P2/m, No. 10
Formation energy without anion corrections in kJ/mol of atoms: -187.35

***

No. 9
First-principles (PBE) data for a relaxed structure of Mg5Ga2Ag12, as listed in the Alexandria database.

The structure in POSCAR format:
```
Mg5Ga2Ag12
1.0
5.655 0.000 0.000
-2.827 7.619 0.053
0.000 -2.719 9.094
Mg Ga Ag
5 2 12
Direct
0.305 0.611 0.621
0.369 0.738 0.133
0.000 0.000 0.500
0.631 0.262 0.867
0.695 0.389 0.379
0.759 0.000 0.000
0.241 0.000 0.000
0.141 0.282 0.347
0.050 0.609 0.884
0.559 0.609 0.884
0.102 0.693 0.379
0.591 0.693 0.379
0.482 0.964 0.636
0.518 0.036 0.364
0.898 0.307 0.621
0.409 0.307 0.621
0.950 0.391 0.116
0.441 0.391 0.116
0.859 0.718 0.653
```

SG: C2/m, No. 12
ΔE_f in meV/atom: 40

***

No. 10
First-principles (PBE) data for a relaxed structure of AcDyErTe3, as listed in the Alexandria database.

The structure in POSCAR format:
```
AcDyErTe3
1.0
4.402 0.000 0.000
0.000 8.729 -0.445
0.000 -2.691 10.565
Ac Dy Er Te
2 2 2 6
Direct
0.250 0.191 0.221
0.750 0.809 0.779
0.250 0.660 0.095
0.750 0.340 0.905
0.250 0.150 0.624
0.750 0.850 0.376
0.750 0.902 0.106
0.250 0.098 0.894
0.250 0.777 0.537
0.750 0.223 0.463
0.750 0.489 0.204
0.250 0.511 0.796
```

SG: P2_1/m, No. 11
Formation energy without anion corrections in kJ/mol of atoms: -120.87

***

No. 11
First-principles (PBE) data for a relaxed structure of SmTm5As6, as listed in the Alexandria database.

The structure in POSCAR format:
```
SmTm5As6
1.0
7.000 0.172 1.064
1.721 5.939 3.462
0.118 0.064 7.083
As Tm Sm
6 5 1
Direct
0.746 0.085 0.338
0.254 0.577 0.338
0.253 0.254 0.000
0.747 0.746 0.000
0.746 0.423 0.662
0.254 0.915 0.662
0.500 0.165 0.669
0.000 0.333 0.334
0.500 0.500 0.000
0.000 0.667 0.666
0.500 0.835 0.331
0.000 0.000 0.000
```

SG: C2/m, No. 12
ΔE_f in meV/atom: -1505

***

No. 12
First-principles (PBE) data for a relaxed structure of MnCuSe2Br, as listed in the Alexandria database.

The structure in POSCAR format:
```
MnCuSe2Br
1.0
4.809 0.000 0.000
0.000 4.809 0.000
0.000 0.000 4.990
Mn Cu Se Br
1 1 2 1
Direct
0.500 0.500 0.500
0.000 0.000 0.000
0.000 0.500 0.000
0.500 0.000 0.000
0.000 0.000 0.500
```

SG: P4/mmm, No. 123
Formation energy without anion corrections in kJ/mol of atoms: 37.37

***

No. 13
First-principles (PBE) data for a relaxed structure of MgTcIr2, as listed in the Alexandria database.

The structure in POSCAR format:
```
MgTcIr2
1.0
-5.736 0.199 -0.114
-3.525 -3.775 2.505
4.153 3.958 0.199
Ir Mg Tc
2 1 1
Direct
0.004 0.004 0.000
0.779 0.279 0.500
0.503 0.503 0.000
0.215 0.715 0.500
```

SG: Imm2, No. 44
ΔE_f in meV/atom: -48

***

No. 14
First-principles (PBE) data for a relaxed structure of MnZnBr2, as listed in the Alexandria database.

The structure in POSCAR format:
```
MnZnBr2
1.0
3.387 0.000 0.000
0.000 3.387 0.000
0.000 0.000 8.517
Br Mn Zn
2 1 1
Direct
0.000 0.000 0.906
0.500 0.500 0.339
0.000 0.000 0.519
0.500 0.500 0.735
```

SG: P4mm, No. 99
Formation energy without anion corrections in kJ/mol of atoms: -7.63

***

No. 15
First-principles (PBE) data for a relaxed structure of MgOsW2, as listed in the Alexandria database.

The structure in POSCAR format:
```
MgOsW2
1.0
-3.648 0.971 1.861
-1.500 -3.374 -1.179
1.220 -1.686 3.271
Mg Os W
1 1 2
Direct
0.500 0.500 0.000
0.500 0.000 0.500
0.000 0.000 0.000
0.000 0.500 0.500
```

SG: P4/mmm, No. 123
ΔE_f in meV/atom: 428

***

No. 16
First-principles (PBE) data for a relaxed structure of KCrOs2, as listed in the Alexandria database.

The structure in POSCAR format:
```
KCrOs2
1.0
5.147 0.000 0.000
0.000 5.147 0.000
0.000 0.000 2.595
Cr K Os
1 1 2
Direct
0.500 0.000 0.500
0.000 0.500 0.500
0.000 0.000 0.000
0.500 0.500 0.000
```

SG: P4/mmm, No. 123
ΔE_f in meV/atom: 1763

***

No. 17
First-principles (PBE) data for a relaxed structure of Li2YRe, as listed in the Alexandria database.

The structure in POSCAR format:
```
Li2YRe
1.0
5.301 0.038 -0.100
4.584 2.664 -0.100
0.605 0.165 5.278
Li Re Y
2 1 1
Direct
0.011 0.011 0.952
0.489 0.489 0.548
0.750 0.750 0.750
0.250 0.250 0.250
```

SG: C2/m, No. 12
ΔE_f in meV/atom: 389

***

No. 18
First-principles (PBE) data for a relaxed structure of LiPm4ZnGa2, as listed in the Alexandria database.

The structure in POSCAR format:
```
LiPm4ZnGa2
1.0
5.212 0.000 0.000
2.606 4.513 0.000
2.606 1.504 8.495
Li Pm Zn Ga
1 4 1 2
Direct
0.000 0.000 0.000
0.379 0.379 0.864
0.872 0.872 0.385
0.128 0.128 0.615
0.621 0.621 0.136
0.500 0.500 0.500
0.746 0.746 0.763
0.254 0.254 0.237
```

SG: R-3m, No. 166
ΔE_f in meV/atom: -393

***

No. 19
First-principles (PBE) data for a relaxed structure of Ba2AgS2Br2, as listed in the Alexandria database.

The structure in POSCAR format:
```
Ba2AgS2Br2
1.0
-2.146 1.787 4.073
-4.424 -1.330 -1.747
4.107 -8.027 2.691
Ba Ag S Br
2 1 2 2
Direct
0.379 0.379 0.758
0.621 0.621 0.242
0.000 0.000 0.000
0.000 0.500 0.000
0.500 0.000 0.000
0.187 0.187 0.374
0.813 0.813 0.626
```

SG: I4/mmm, No. 139
Formation energy without anion corrections in kJ/mol of atoms: -147.84

***

No. 20
First-principles (PBE) data for a relaxed structure of Cs2P4S5, as listed in the Alexandria database.

The structure in POSCAR format:
```
Cs2P4S5
1.0
-5.651 -5.112 0.578
4.271 -4.980 -7.018
-1.635 -3.643 6.493
Cs P S
2 4 5
Direct
0.394 0.730 0.496
0.606 0.270 0.504
0.365 0.022 0.174
0.635 0.978 0.826
0.783 0.760 0.844
0.217 0.240 0.156
0.164 0.172 0.902
0.836 0.828 0.098
0.000 0.500 0.500
0.564 0.246 0.008
0.436 0.754 0.992
```

SG: P-1, No. 2
Formation energy without anion corrections in kJ/mol of atoms: -36.23

***

No. 21
First-principles (PBE) data for a relaxed structure of Pu2GaNi4Sb3, as listed in the Alexandria database.

The structure in POSCAR format:
```
Pu2GaNi4Sb3
1.0
4.321 0.000 0.000
0.000 4.321 0.000
0.000 0.000 10.066
Pu Ga Ni Sb
2 1 4 3
Direct
0.500 0.000 0.248
0.000 0.500 0.752
0.500 0.500 0.500
0.500 0.500 0.000
0.000 0.000 0.000
0.500 0.000 0.621
0.000 0.500 0.379
0.000 0.000 0.500
0.500 0.000 0.866
0.000 0.500 0.134
```

SG: P-4m2, No. 115
Formation energy without anion corrections in kJ/mol of atoms: -43.81

***

No. 22
First-principles (PBE) data for a relaxed structure of Dy2ScTaN4, as listed in the Alexandria database.

The structure in POSCAR format:
```
Dy2ScTaN4
1.0
3.277 0.000 0.000
0.000 5.677 0.108
0.000 -1.977 5.383
Dy Sc Ta N
2 1 1 4
Direct
0.500 0.000 0.500
0.000 0.500 0.500
0.500 0.500 0.000
0.000 0.000 0.000
0.500 0.235 0.223
0.500 0.765 0.777
0.000 0.248 0.775
0.000 0.752 0.225
```

SG: P2/m, No. 10
Formation energy without anion corrections in kJ/mol of atoms: -156.23

***

No. 23
First-principles (PBE) data for a relaxed structure of ThZn3Cd, as listed in the Alexandria database.

The structure in POSCAR format:
```
ThZn3Cd
1.0
-2.360 -3.822 0.074
0.604 -0.302 3.646
-10.871 6.722 0.474
Th Zn Cd
2 6 2
Direct
0.250 0.076 0.152
0.750 0.924 0.848
0.250 0.372 0.745
0.750 0.628 0.255
0.250 0.475 0.949
0.750 0.525 0.051
0.750 0.320 0.640
0.250 0.680 0.360
0.250 0.789 0.577
0.750 0.211 0.423
```

SG: Cmcm, No. 63
ΔE_f in meV/atom: -145

***

No. 24
First-principles (PBE) data for a relaxed structure of CePmPr2Te5, as listed in the Alexandria database.

The structure in POSCAR format:
```
CePmPr2Te5
1.0
-3.534 -1.844 4.028
4.423 -1.760 3.074
0.531 10.710 5.367
Ce Pm Pr Te
1 1 2 5
Direct
0.000 0.000 0.000
0.000 0.000 0.500
0.500 0.500 0.345
0.500 0.500 0.655
0.000 0.500 0.500
0.500 0.000 0.500
0.000 0.000 0.751
0.000 0.000 0.249
0.500 0.500 0.000
```

SG: P4/mmm, No. 123
Formation energy without anion corrections in kJ/mol of atoms: -76.22